Record 1
{
  "formula": "K2SrMn",
  "functional": "meta-GGA SCAN",
  "state": "PBEsol geometry",
  "relative_energy_mev_per_atom": 138,
  "m_tot_mub_per_atom": 1.233,
  "n_ef_per_ev_fu": 4.51,
  "formation_enthalpy_0k_ev_per_atom": 0.44,
  "lattice": [[6.2021, 0.0000, 0.0000], [0.0000, 6.2021, 0.0000], [0.0000, 0.0000, 8.8023]],
  "species": ["K", "K", "K", "K", "Sr", "Sr", "Mn", "Mn"],
  "fractional_positions": [[0.0000, 0.0000, 0.0000], [0.0000, 0.5000, 0.2500], [0.5000, 0.0000, 0.7500], [0.5000, 0.5000, 0.5000], [0.0000, 0.0000, 0.5000], [0.5000, 0.5000, 0.0000], [0.0000, 0.5000, 0.7500], [0.5000, 0.0000, 0.2500]]
}

Record 2
{
  "formula": "K2SrMn",
  "functional": "meta-GGA SCAN",
  "state": "PBEsol geometry",
  "relative_energy_mev_per_atom": 187,
  "m_tot_mub_per_atom": 1.244,
  "n_ef_per_ev_fu": 3.62,
  "formation_enthalpy_0k_ev_per_atom": 0.49,
  "lattice": [[3.9450, 0.0000, 0.0000], [0.0000, 3.9450, 0.0000], [0.0000, 0.0000, 11.7585]],
  "species": ["K", "K", "Sr", "Mn"],
  "fractional_positions": [[0.0000, 0.0000, 0.2004], [0.0000, 0.0000, 0.7996], [0.5000, 0.5000, 0.5000], [0.5000, 0.5000, 0.0000]]
}

Record 3
{
  "formula": "KSrMn2",
  "functional": "meta-GGA SCAN",
  "state": "PBEsol geometry",
  "relative_energy_mev_per_atom": 0,
  "m_tot_mub_per_atom": 2.108,
  "n_ef_per_ev_fu": 2.57,
  "formation_enthalpy_0k_ev_per_atom": 0.40,
  "lattice": [[3.5466, 0.0000, 0.0000], [0.0000, 3.5466, 0.0000], [0.0000, 0.0000, 9.6345]],
  "species": ["K", "Sr", "Mn", "Mn"],
  "fractional_positions": [[0.0000, 0.0000, 0.0000], [0.5000, 0.5000, 0.5983], [0.0000, 0.0000, 0.3793], [0.5000, 0.5000, 0.2720]]
}

Record 4
{
  "formula": "KSrMn2",
  "functional": "meta-GGA SCAN",
  "state": "PBEsol geometry",
  "relative_energy_mev_per_atom": 144,
  "m_tot_mub_per_atom": 2.146,
  "n_ef_per_ev_fu": 3.44,
  "formation_enthalpy_0k_ev_per_atom": 0.54,
  "lattice": [[3.7210, 0.0000, 0.0000], [0.0000, 4.5524, 0.0000], [0.0000, 0.0000, 7.8593]],
  "species": ["K", "Sr", "Mn", "Mn"],
  "fractional_positions": [[0.0000, 0.0000, 0.0000], [0.0000, 0.0000, 0.5000], [0.5000, 0.5000, 0.3322], [0.5000, 0.5000, 0.6678]]
}

Record 5
{
  "formula": "KTaMn4",
  "functional": "meta-GGA SCAN",
  "state": "PBEsol geometry",
  "m_tot_mub_per_atom": 1.377,
  "n_ef_per_ev_fu": 6.27,
  "formation_enthalpy_0k_ev_per_atom": 0.97,
  "lattice": [[0.0000, 3.4574, 3.4574], [3.4574, 0.0000, 3.4574], [3.4574, 3.4574, 0.0000]],
  "species": ["K", "Ta", "Mn", "Mn", "Mn", "Mn"],
  "fractional_positions": [[0.0000, 0.0000, 0.0000], [0.7500, 0.7500, 0.7500], [0.3761, 0.3761, 0.3761], [0.3761, 0.3761, 0.8717], [0.3761, 0.8717, 0.3761], [0.8717, 0.3761, 0.3761]]
}

Record 6
{
  "formula": "KTa3Mn",
  "functional": "meta-GGA SCAN",
  "state": "PBEsol geometry",
  "m_tot_mub_per_atom": 0.857,
  "n_ef_per_ev_fu": 4.86,
  "formation_enthalpy_0k_ev_per_atom": 3.00,
  "lattice": [[4.5413, 0.0000, 0.0000], [0.0000, 4.5413, 0.0000], [0.0000, 0.0000, 4.5413]],
  "species": ["K", "Ta", "Ta", "Ta", "Mn"],
  "fractional_positions": [[0.0000, 0.0000, 0.0000], [0.0000, 0.0000, 0.5000], [0.0000, 0.5000, 0.0000], [0.5000, 0.0000, 0.0000], [0.5000, 0.5000, 0.5000]]
}

Please write out number 6 again, unchanged.
{
  "formula": "KTa3Mn",
  "functional": "meta-GGA SCAN",
  "state": "PBEsol geometry",
  "m_tot_mub_per_atom": 0.857,
  "n_ef_per_ev_fu": 4.86,
  "formation_enthalpy_0k_ev_per_atom": 3.00,
  "lattice": [[4.5413, 0.0000, 0.0000], [0.0000, 4.5413, 0.0000], [0.0000, 0.0000, 4.5413]],
  "species": ["K", "Ta", "Ta", "Ta", "Mn"],
  "fractional_positions": [[0.0000, 0.0000, 0.0000], [0.0000, 0.0000, 0.5000], [0.0000, 0.5000, 0.0000], [0.5000, 0.0000, 0.0000], [0.5000, 0.5000, 0.5000]]
}